# GGA-PBE HfOsN2, relaxed
# Energy in eV/cell: -36.79
# Raw formation energy in eV per atom: 0.2620
data_HfOsN2
_cell_length_a 5.689
_cell_length_b 5.689
_cell_length_c 5.689
_cell_angle_alpha 35.05
_cell_angle_beta 35.05
_cell_angle_gamma 35.05
_space_group_name_H-M_alt 'P 1'
_space_group_IT_number 1
_space_group_name_Hall 'P 1'
loop_
_atom_site_label
_atom_site_type_symbol
_atom_site_fract_x
_atom_site_fract_y
_atom_site_fract_z
N1 N 0.128 0.128 0.128
N2 N 0.872 0.872 0.872
Hf1 Hf 0.000 0.000 0.000
Os1 Os 0.500 0.500 0.500